Record 1
Computed, not measured: a relaxed CsZnCd2Ga crystal at the PBE level of DFT.

Summary:
* space group: P4/mmm
* DFT formation energy: 97.5 meV/atom

```
CsZnCd2Ga
1.0
5.533 0.000 0.000
0.000 5.533 0.000
0.000 0.000 5.261
Cs Zn Cd Ga
1 1 2 1
Cartesian
0.000 0.000 0.000
2.767 2.767 0.000
0.000 2.767 2.630
2.767 0.000 2.630
2.767 2.767 2.630
```

Record 2
Computed, not measured: a relaxed Fe2PbCl crystal at the PBE level of DFT.

Summary:
* space group: P2/m
* raw formation energy: 0.465 eV per atom

```
Fe2PbCl
1.0
3.363 0.000 0.000
0.000 4.674 0.000
-0.689 0.000 5.572
Fe Pb Cl
2 1 1
Cartesian
0.405 0.000 1.939
2.269 0.000 3.633
1.337 2.337 2.786
0.000 2.337 0.000
```

Record 3
Computed, not measured: a relaxed PHBrF2 crystal at the PBE level of DFT.

Summary:
* space group: P4/mmm
* final energy: -2.225 eV per atom

```
PHBrF2
1.0
4.216 0.000 0.000
0.000 4.216 0.000
0.000 0.000 5.126
P H Br F
1 1 1 2
Cartesian
0.000 0.000 0.000
2.108 2.108 0.000
0.000 0.000 2.563
0.000 2.108 2.563
2.108 0.000 2.563
```

Record 4
Computed, not measured: a relaxed Cr2Ga2Rh crystal at the PBE level of DFT.

Summary:
* space group: P4/mbm
* DFT formation energy: 154.8 meV/atom

```
Cr2Ga2Rh
1.0
6.528 0.000 0.000
0.000 6.528 0.000
0.000 0.000 3.214
Cr Ga Rh
4 4 2
Cartesian
1.074 2.190 0.000
2.190 5.454 0.000
4.338 1.074 0.000
5.454 4.338 0.000
0.887 4.151 1.607
2.377 0.887 1.607
4.151 5.641 1.607
5.641 2.377 1.607
0.000 0.000 1.607
3.264 3.264 1.607
```